A relaxed HfPa2BeN5 crystal. Source: Alexandria via LeMat-Bulk, functional PBE.

Output
total energy: -9.7168 eV per atom
ΔE_f (raw): -1.4615 eV per atom
space-group type: Cmc2_1 (36)

Unit cell a=6.7823 b=6.7823 c=9.9707 alpha=90.00 beta=90.00 gamma=152.30
Fractional coordinates of all 18 atoms:
Hf (0.1887, 0.8113, 0.5000)
Hf (0.8113, 0.1887, 0.0000)
Pa (0.1184, 0.8816, 0.1810)
Pa (0.1316, 0.8684, 0.8068)
Pa (0.8684, 0.1316, 0.3068)
Pa (0.8816, 0.1184, 0.6810)
Be (0.4966, 0.5034, 0.4761)
Be (0.5034, 0.4966, 0.9761)
N (0.0281, 0.9719, 0.5372)
N (0.2961, 0.7039, 0.1525)
N (0.3058, 0.6942, 0.8498)
N (0.3557, 0.6443, 0.5059)
N (0.4910, 0.5090, 0.2918)
N (0.5090, 0.4910, 0.7918)
N (0.6443, 0.3557, 0.0059)
N (0.6942, 0.3058, 0.3498)
N (0.7039, 0.2961, 0.6525)
N (0.9719, 0.0281, 0.0372)

=====

A relaxed Rb2BaNa crystal. Source: Alexandria via LeMat-Bulk, functional PBE.

Output
total energy: -1.1894 eV per atom
space-group type: R3m (160)
energy of formation: 0.10 eV/atom
energy above the most stable polymorph in this dataset: 0.000 eV/atom

Unit cell a=15.3162 b=15.3162 c=15.3162 alpha=17.26 beta=17.26 gamma=17.26
Fractional coordinates of all 4 atoms:
Rb (0.0000, 0.0000, 0.0000)
Rb (0.1794, 0.1794, 0.1794)
Ba (0.7563, 0.7563, 0.7563)
Na (0.5897, 0.5897, 0.5897)

=====

A relaxed Ba4Tl crystal. Source: Alexandria via LeMat-Bulk, functional PBE.

Output
total energy: -2.1344 eV per atom
space-group type: C2/c (15)
energy of formation: -0.12 eV/atom
energy above the most stable polymorph in this dataset: 0.000 eV/atom

Unit cell a=12.2109 b=12.2109 c=13.2077 alpha=112.97 beta=112.97 gamma=85.35
Fractional coordinates of all 30 atoms:
Ba (0.0000, 0.5000, 0.5000)
Ba (0.0172, 0.5652, 0.2036)
Ba (0.0680, 0.8347, 0.0544)
Ba (0.1653, 0.9320, 0.4456)
Ba (0.1662, 0.2286, 0.2999)
Ba (0.1837, 0.8163, 0.7500)
Ba (0.2286, 0.1662, 0.7999)
Ba (0.3376, 0.3777, 0.1538)
Ba (0.3555, 0.6289, 0.9814)
Ba (0.3711, 0.6445, 0.5186)
Ba (0.3777, 0.3376, 0.6538)
Ba (0.4348, 0.9828, 0.2964)
Ba (0.5000, 0.0000, 0.0000)
Ba (0.5652, 0.0172, 0.7036)
Ba (0.6223, 0.6624, 0.3462)
Ba (0.6289, 0.3555, 0.4814)
Ba (0.6445, 0.3711, 0.0186)
Ba (0.6624, 0.6223, 0.8462)
Ba (0.7714, 0.8338, 0.2001)
Ba (0.8163, 0.1837, 0.2500)
Ba (0.8338, 0.7714, 0.7001)
Ba (0.8347, 0.0680, 0.5544)
Ba (0.9320, 0.1653, 0.9456)
Ba (0.9828, 0.4348, 0.7964)
Tl (0.0560, 0.2274, 0.5337)
Tl (0.2274, 0.0560, 0.0337)
Tl (0.2977, 0.7023, 0.2500)
Tl (0.7023, 0.2977, 0.7500)
Tl (0.7726, 0.9440, 0.9663)
Tl (0.9440, 0.7726, 0.4663)

=====

One value per record, in order, for Fermi-level density of states: 3.9, 4.7, 50.6 states/eV per cell.